10
Lattice="7.899 0.000 0.000 0.000 7.899 0.000 0.000 0.000 3.753" Properties=species:S:1:pos:R:3 comment="PBE-GGA SrAg2Se2, optimized geometry" energy_ev_per_fu=-17.169 raw_formation_energy_kj_per_mol_atoms=-54.3 mass_density_g_cm3=6.54 crystal_system=tetragonal vol_a3_per_cell=234.2 pbc="T T T"
Sr 0.000 0.000 0.000
Sr 3.950 3.950 0.000
Ag 0.949 3.000 0.000
Ag 3.000 6.950 0.000
Ag 4.899 0.949 0.000
Ag 6.950 4.899 0.000
Se 1.529 5.479 1.877
Se 2.421 1.529 1.877
Se 5.479 6.370 1.877
Se 6.370 2.421 1.877

8
Lattice="4.130 0.000 0.000 0.000 6.153 0.000 0.000 0.000 8.527" Properties=species:S:1:pos:R:3 comment="PBE-GGA Cd2HgBr, optimized geometry" energy_ev_per_fu=-4.361 raw_formation_energy_kj_per_mol_atoms=-13.4 mass_density_g_cm3=7.74 crystal_system=orthorhombic vol_a3_per_cell=216.7 polymorph_energy_kcal_per_mol_atoms=1.54 pbc="T T T"
Cd 0.000 0.000 2.083
Cd 0.000 0.000 6.443
Cd 2.065 3.077 2.083
Cd 2.065 3.077 6.443
Hg 0.000 3.077 0.000
Hg 2.065 0.000 0.000
Br 0.000 3.077 4.263
Br 2.065 0.000 4.263

5
Lattice="4.327 0.000 0.000 0.000 4.327 0.000 0.000 0.000 4.240" Properties=species:S:1:pos:R:3 comment="PBE-GGA RbScNF2, optimized geometry" energy_ev_per_fu=-30.110 raw_formation_energy_kj_per_mol_atoms=-207.3 mass_density_g_cm3=3.82 crystal_system=tetragonal vol_a3_per_cell=79.4 polymorph_energy_kcal_per_mol_atoms=0.00 pbc="T T T"
Rb 0.000 0.000 0.000
Sc 2.164 2.164 2.120
N 2.164 2.164 0.000
F 0.000 2.164 2.120
F 2.164 0.000 2.120

12
Lattice="3.982 0.000 0.000 -1.991 3.449 0.000 0.000 0.000 20.765" Properties=species:S:1:pos:R:3 comment="PBE-GGA CdPbS2, optimized geometry" energy_ev_per_fu=-14.742 raw_formation_energy_kj_per_mol_atoms=-45.0 mass_density_g_cm3=6.70 crystal_system=trigonal vol_a3_per_cell=285.2 pbc="T T T"
Cd 0.000 0.000 0.000
Cd 0.000 2.299 13.843
Cd 1.991 1.150 6.922
Pb 0.000 0.000 17.252
Pb 0.000 2.299 10.331
Pb 1.991 1.150 3.409
S 0.000 0.000 8.398
S 0.000 0.000 12.250
S 0.000 2.299 1.476
S 0.000 2.299 5.328
S 1.991 1.150 15.320
S 1.991 1.150 19.172

4
Lattice="3.078 0.000 0.000 0.000 3.078 0.000 0.000 0.000 7.623" Properties=species:S:1:pos:R:3 comment="PBE-GGA NaTcAs2, optimized geometry" energy_ev_per_fu=-22.173 mass_density_g_cm3=6.23 ef_mev_per_atom=-297 crystal_system=tetragonal vol_a3_per_cell=72.2 polymorph_energy_kcal_per_mol_atoms=0.00 pbc="T T T"
Na 0.000 0.000 0.000
Tc 0.000 0.000 3.811
As 1.539 1.539 2.299
As 1.539 1.539 5.324

16
Lattice="3.652 0.000 0.000 0.000 13.161 0.000 0.000 0.000 4.176" Properties=species:S:1:pos:R:3 comment="PBE-GGA Be3In, optimized geometry" energy_ev_per_fu=-12.988 mass_density_g_cm3=4.69 ef_mev_per_atom=232 crystal_system=orthorhombic vol_a3_per_cell=200.8 polymorph_energy_kcal_per_mol_atoms=0.00 pbc="T T T"
Be 0.000 0.051 0.000
Be 0.000 5.066 1.076
Be 0.000 6.019 3.155
Be 0.000 7.143 1.066
Be 0.000 8.095 3.164
Be 0.000 13.110 2.088
Be 1.826 0.562 1.066
Be 1.826 1.515 3.164
Be 1.826 6.530 2.088
Be 1.826 6.632 0.000
Be 1.826 11.647 1.076
Be 1.826 12.599 3.155
In 0.000 2.475 1.106
In 0.000 10.686 3.194
In 1.826 4.105 3.194
In 1.826 9.056 1.106

10
Lattice="3.298 1.904 5.954 -3.298 1.904 5.954 0.000 -3.808 5.954" Properties=species:S:1:pos:R:3 comment="PBE-GGA CaHfSc2S6, optimized geometry" energy_ev_per_fu=-67.476 raw_formation_energy_kj_per_mol_atoms=-174.6 mass_density_g_cm3=3.71 crystal_system=trigonal vol_a3_per_cell=224.3 pbc="T T T"
Ca 0.000 0.000 0.000
Hf 0.000 0.000 8.697
Sc 0.000 0.000 5.266
Sc 0.000 0.000 14.300
S -1.929 -0.239 7.004
S -1.182 -1.888 9.923
S 1.171 -1.551 7.004
S -1.044 1.967 9.923
S 0.758 1.790 7.004
S 2.226 -0.080 9.923

4
Lattice="3.264 0.000 0.000 0.000 3.264 0.000 0.000 0.000 4.959" Properties=species:S:1:pos:R:3 comment="PBE-GGA Be2CrTe, optimized geometry" energy_ev_per_fu=-18.579 raw_formation_energy_kj_per_mol_atoms=39.5 mass_density_g_cm3=6.21 crystal_system=tetragonal vol_a3_per_cell=52.8 pbc="T T T"
Be 0.000 0.000 1.023
Be 0.000 0.000 3.936
Cr 1.632 1.632 0.000
Te 1.632 1.632 2.480